<i>
Cu2Ag3: relaxed, PBE.

Output
density: 9.66 g/cm³
SG: C2/m, No. 12

The structure in POSCAR format:
```
Cu2Ag3
1.0
4.781 -1.437 0.000
4.781 1.437 0.000
-1.495 0.000 11.273
Cu Ag
4 6
Cartesian
0.082 0.000 4.033 Cu
1.486 0.000 8.390 Cu
6.581 0.000 2.883 Cu
7.984 0.000 7.239 Cu
1.302 0.000 0.619 Ag
2.735 0.000 4.962 Ag
3.918 0.000 1.942 Ag
4.148 0.000 9.331 Ag
5.331 0.000 6.311 Ag
6.764 0.000 10.654 Ag
```

***

<ii>
Cu2Ag3: relaxed, PBE.

Output
density: 9.62 g/cm³
SG: Pmm2, No. 25

The structure in POSCAR format:
```
Cu2Ag3
1.0
2.857 0.000 0.000
0.000 3.682 0.000
0.000 0.000 14.790
Cu Ag
4 6
Cartesian
0.000 0.000 0.000 Cu
0.000 0.000 2.460 Cu
1.428 1.841 1.233 Cu
1.428 1.841 10.290 Cu
0.000 0.000 5.530 Ag
0.000 0.000 8.854 Ag
0.000 0.000 11.709 Ag
1.428 1.841 3.886 Ag
1.428 1.841 7.186 Ag
1.428 1.841 13.362 Ag
```

***

<iii>
Cu2Ag3: relaxed, PBE.

Output
density: 9.63 g/cm³
SG: P1, No. 1

The structure in POSCAR format:
```
Cu2Ag3
1.0
4.853 0.000 0.000
-2.413 6.995 0.000
-1.646 -2.760 9.158
Cu Ag
8 12
Cartesian
0.000 0.000 0.000 Cu
-1.611 2.809 2.321 Cu
-1.559 3.357 5.132 Cu
0.819 2.536 0.991 Cu
-0.019 1.225 5.652 Cu
0.039 1.720 8.272 Cu
0.807 3.605 6.518 Cu
1.616 -0.496 8.866 Cu
-2.461 1.456 6.919 Ag
-0.773 -1.395 4.743 Ag
-0.789 4.679 0.484 Ag
-0.003 0.613 2.758 Ag
-0.802 -0.767 7.555 Ag
-0.804 5.282 3.279 Ag
-1.563 3.924 7.830 Ag
2.411 0.371 1.362 Ag
0.821 3.078 3.788 Ag
1.634 -1.102 6.091 Ag
1.644 5.008 1.807 Ag
2.479 0.913 4.204 Ag
```

***

Stability summary - winner: <i>; margin: 0.6 kJ/mol of atoms.

***

<i>
CuAg4: relaxed, PBE.

Output
density: 9.72 g/cm³
SG: P-1, No. 2

The structure in POSCAR format:
```
CuAg4
1.0
4.988 0.000 0.000
0.819 4.925 0.000
2.473 2.095 6.888
Cu Ag
2 8
Cartesian
2.462 2.958 2.433 Cu
5.818 4.061 4.454 Cu
1.665 0.555 1.069 Ag
3.288 2.838 5.106 Ag
3.294 5.308 3.771 Ag
4.157 5.181 6.552 Ag
4.123 1.839 0.336 Ag
4.986 1.711 3.116 Ag
4.992 4.182 1.782 Ag
6.615 6.465 5.818 Ag
```

***

<ii>
CuAg4: relaxed, PBE.

Output
density: 9.75 g/cm³
SG: C2/m, No. 12

The structure in POSCAR format:
```
CuAg4
1.0
9.918 -1.463 0.000
9.918 1.463 0.000
-0.897 0.000 5.809
Cu Ag
2 8
Cartesian
3.973 0.000 0.501 Cu
14.966 0.000 5.308 Cu
0.000 0.000 0.000 Ag
-0.449 0.000 2.905 Ag
3.537 0.000 3.610 Ag
7.130 0.000 4.074 Ag
7.675 0.000 1.102 Ag
11.264 0.000 4.707 Ag
11.809 0.000 1.736 Ag
15.402 0.000 2.199 Ag
```

***

Stability summary - winner: <ii>; margin: 1.1 kJ/mol of atoms.

***

<i>
MgBeZnGe: relaxed, PBE.

Output
density: 4.42 g/cm³
SG: F-43m, No. 216

The structure in POSCAR format:
```
MgBeZnGe
1.0
0.000 3.180 3.180
3.180 0.000 3.180
3.180 3.180 0.000
Mg Be Zn Ge
1 1 1 1
Cartesian
0.000 0.000 0.000 Mg
4.770 4.770 4.770 Be
3.180 3.180 3.180 Zn
1.590 1.590 1.590 Ge
```

***

<ii>
MgBeZnGe: relaxed, PBE.

Output
density: 4.48 g/cm³
SG: F-43m, No. 216

The structure in POSCAR format:
```
MgBeZnGe
1.0
0.000 3.167 3.167
3.167 0.000 3.167
3.167 3.167 0.000
Mg Be Zn Ge
1 1 1 1
Cartesian
0.000 0.000 0.000 Mg
3.167 3.167 3.167 Be
4.751 4.751 4.751 Zn
1.584 1.584 1.584 Ge
```

***

Stability summary - winner: <ii>; margin: 4.9 kJ/mol of atoms.

***

<i>
Cu4Ag: relaxed, PBE.

Output
density: 9.21 g/cm³
SG: C2/m, No. 12

The structure in POSCAR format:
```
Cu4Ag
1.0
5.605 -1.347 0.000
5.605 1.347 0.000
-1.701 0.000 8.640
Cu Ag
8 2
Cartesian
0.000 0.000 0.000 Cu
0.694 0.000 2.638 Cu
1.247 0.000 5.111 Cu
1.923 0.000 7.757 Cu
4.755 0.000 4.320 Cu
7.587 0.000 0.883 Cu
8.263 0.000 3.529 Cu
8.816 0.000 6.001 Cu
4.129 0.000 1.749 Ag
5.381 0.000 6.891 Ag
```

***

<ii>
Cu4Ag: relaxed, PBE.

Output
density: 9.22 g/cm³
SG: C2/m, No. 12

The structure in POSCAR format:
```
Cu4Ag
1.0
4.162 -1.878 0.000
4.162 1.878 0.000
-0.044 0.000 8.342
Cu Ag
8 2
Cartesian
0.000 0.000 0.000 Cu
0.707 0.000 5.736 Cu
1.671 0.000 3.418 Cu
3.244 0.000 6.521 Cu
4.140 0.000 4.171 Cu
5.036 0.000 1.821 Cu
6.609 0.000 4.924 Cu
7.572 0.000 2.606 Cu
2.550 0.000 0.916 Ag
5.730 0.000 7.426 Ag
```

***

Stability summary - winner: <ii>; margin: 1.0 kJ/mol of atoms.

***

<i>
Cu4Ag: relaxed, PBE.

Output
density: 9.22 g/cm³
SG: P2/m, No. 10

The structure in POSCAR format:
```
Cu4Ag
1.0
6.468 0.000 0.000
0.000 2.700 0.000
-1.748 0.000 7.470
Cu Ag
8 2
Cartesian
0.000 0.000 0.000 Cu
0.088 1.350 2.245 Cu
0.263 0.000 4.343 Cu
2.107 0.000 1.619 Cu
2.360 1.350 3.735 Cu
2.613 0.000 5.851 Cu
4.457 0.000 3.127 Cu
4.632 1.350 5.225 Cu
0.391 1.350 6.653 Ag
4.329 1.350 0.817 Ag
```

***

<ii>
Cu4Ag: relaxed, PBE.

Output
density: 9.20 g/cm³
SG: P-1, No. 2

The structure in POSCAR format:
```
Cu4Ag
1.0
4.567 0.000 0.000
-0.778 4.509 0.000
-2.175 -1.921 6.345
Cu Ag
8 2
Cartesian
0.000 0.000 0.000 Cu
-1.476 1.294 3.173 Cu
-0.705 -0.915 4.358 Cu
-0.009 2.382 1.350 Cu
0.760 0.131 2.583 Cu
0.854 2.457 3.762 Cu
1.624 0.205 4.995 Cu
2.320 3.503 1.987 Cu
-0.683 1.417 5.646 Ag
2.298 1.171 0.699 Ag
```

***

Stability summary - winner: <i>; margin: 0.5 kJ/mol of atoms.

***

<i>
MgZnSO: relaxed, PBE.

Output
density: 4.06 g/cm³
SG: Cmcm, No. 63

The structure in POSCAR format:
```
MgZnSO
1.0
1.673 -5.837 0.000
1.673 5.837 0.000
0.000 0.000 5.767
Mg Zn S O
2 2 2 2
Cartesian
1.673 4.932 4.325 Mg
1.673 -4.932 1.442 Mg
1.673 1.523 4.325 Zn
1.673 -1.523 1.442 Zn
1.673 2.821 1.442 S
1.673 -2.821 4.325 S
1.673 0.000 0.000 O
1.673 0.000 2.884 O
```

***

<ii>
MgZnSO: relaxed, PBE.

Output
density: 3.94 g/cm³
SG: Pbcm, No. 57

The structure in POSCAR format:
```
MgZnSO
1.0
3.639 0.000 0.000
0.000 7.518 0.000
0.000 0.000 8.489
Mg Zn S O
4 4 4 4
Cartesian
0.004 1.879 0.000 Mg
0.004 1.879 4.244 Mg
3.635 5.638 0.000 Mg
3.635 5.638 4.244 Mg
1.812 4.683 2.122 Zn
1.812 6.593 6.366 Zn
1.827 0.924 2.122 Zn
1.827 2.834 6.366 Zn
1.819 0.000 0.000 S
1.819 0.000 4.244 S
1.819 3.759 0.000 S
1.819 3.759 4.244 S
0.006 1.753 2.122 O
0.006 2.006 6.366 O
3.632 5.512 2.122 O
3.632 5.765 6.366 O
```

***

Stability summary - winner: <ii>; margin: 22.4 kJ/mol of atoms.

***

<i>
Os: relaxed, PBE.

Output
density: 19.66 g/cm³
SG: I4_1/amd, No. 141
total moment: 0.010 μB per cell

The structure in POSCAR format:
```
Os
1.0
-2.441 2.441 1.348
2.441 -2.441 1.348
2.441 2.441 -1.348
Os
2
Cartesian
2.441 1.221 0.337 Os
0.000 1.221 1.011 Os
```

***

<ii>
Os: relaxed, PBE.

Output
density: 21.57 g/cm³
SG: P6/mmm, No. 191
total moment: 0.002 μB per cell

The structure in POSCAR format:
```
Os
1.0
4.323 0.000 0.000
-2.162 3.744 0.000
0.000 0.000 2.715
Os
3
Cartesian
0.000 0.000 0.000 Os
0.000 2.496 1.357 Os
2.162 1.248 1.357 Os
```

***

Stability summary - winner: <ii>; margin: 81.1 kJ/mol of atoms.

***

<i>
Cu5Ag4: relaxed, PBE.

Output
density: 9.56 g/cm³
SG: I4mm, No. 107

The structure in POSCAR format:
```
Cu5Ag4
1.0
-1.406 1.406 16.466
1.406 -1.406 16.466
1.406 1.406 -16.466
Cu Ag
5 4
Cartesian
0.000 0.000 0.000 Cu
0.000 0.000 3.067 Cu
0.000 0.000 11.159 Cu
0.000 0.000 14.926 Cu
0.000 0.000 18.001 Cu
0.000 0.000 7.126 Ag
0.000 0.000 21.415 Ag
0.000 0.000 25.765 Ag
0.000 0.000 29.498 Ag
```

***

<ii>
Cu5Ag4: relaxed, PBE.

Output
density: 9.52 g/cm³
SG: I4/mmm, No. 139

The structure in POSCAR format:
```
Cu5Ag4
1.0
-1.426 1.426 16.054
1.426 -1.426 16.054
1.426 1.426 -16.054
Cu Ag
5 4
Cartesian
0.000 0.000 0.000 Cu
0.000 0.000 2.969 Cu
0.000 0.000 14.564 Cu
0.000 0.000 17.545 Cu
0.000 0.000 29.139 Cu
0.000 0.000 6.958 Ag
0.000 0.000 11.240 Ag
0.000 0.000 20.869 Ag
0.000 0.000 25.150 Ag
```

***

Stability summary - winner: <ii>; margin: 1.9 kJ/mol of atoms.